NaTl7Cd2 (PBE, optimized geometry); volume = 305.0 Å³/cell; total magnetization = 0.000 Bohr magnetons per cell; energy relative to the elements = 35 meV/atom; space-group type = P3m1; total energy = -19.364 eV for the cell shown
1.0
5.1911 0.0000 0.0000
-2.5955 4.4956 0.0000
0.0000 0.0000 13.0679
Na Tl Cd
1 7 2
direct
0.0000 0.0000 0.0000
0.0000 0.0000 0.2760
0.0000 0.0000 0.6972
0.3333 0.6667 0.1020
0.3333 0.6667 0.3657
0.3333 0.6667 0.8344
0.6667 0.3333 0.4963
0.6667 0.3333 0.8995
0.3333 0.6667 0.6007
0.6667 0.3333 0.1643



Na4TlCd (PBE, optimized geometry); volume = 173.4 Å³/cell; energy above the most stable polymorph in this dataset = 0.000 eV per atom; total magnetization = 0.000 Bohr magnetons per cell; energy relative to the elements = -67 meV/atom; space-group type = P2/m; total energy = -8.960 eV for the cell shown
1.0
4.9583 0.0000 0.0000
0.0000 3.4076 0.0000
-0.0074 0.0000 10.2609
Na Tl Cd
4 1 1
direct
0.0006 0.0000 0.3403
0.4983 0.5000 0.8383
0.5017 0.5000 0.1617
0.9994 0.0000 0.6597
0.5000 0.5000 0.5000
0.0000 0.0000 0.0000



Na5Tl8Cd (PBE, optimized geometry); volume = 426.7 Å³/cell; energy above the most stable polymorph in this dataset = 0.000 eV per atom; total magnetization = 0.000 Bohr magnetons per cell; energy relative to the elements = -69 meV/atom; space-group type = I-4; total energy = -27.412 eV for the cell shown
1.0
-6.3252 6.3252 2.6664
6.3252 -6.3252 2.6664
6.3252 6.3252 -2.6664
Na Tl Cd
5 8 1
direct
0.0000 0.0000 0.0000
0.0636 0.8261 0.3854
0.1739 0.5593 0.2375
0.3218 0.9364 0.7625
0.4407 0.6782 0.6146
0.0944 0.1009 0.6662
0.4348 0.4282 0.3338
0.5127 0.1656 0.1937
0.5718 0.9056 0.0066
0.6810 0.4873 0.6529
0.8344 0.0281 0.3471
0.8991 0.5652 0.9934
0.9719 0.3190 0.8063
0.7500 0.2500 0.5000



Na3Tl2Cd4 (PBE, optimized geometry); volume = 234.8 Å³/cell; total magnetization = 0.000 Bohr magnetons per cell; energy relative to the elements = -109 meV/atom; space-group type = C2/m; total energy = -13.332 eV for the cell shown
1.0
5.6212 -2.5966 0.0000
5.6212 2.5966 0.0000
-5.2496 0.0000 8.0432
Na Tl Cd
3 2 4
direct
0.0000 0.0000 0.0000
0.3329 0.3329 0.3336
0.6671 0.6671 0.6664
0.3861 0.3861 0.7230
0.6139 0.6139 0.2770
0.0472 0.0472 0.3858
0.2699 0.2699 0.9436
0.7301 0.7301 0.0564
0.9528 0.9528 0.6142



Na4Tl2Cd (PBE, optimized geometry); volume = 417.8 Å³/cell; energy above the most stable polymorph in this dataset = 0.000 eV per atom; total magnetization = 0.000 Bohr magnetons per cell; energy relative to the elements = -74 meV/atom; space-group type = P-1; total energy = -22.889 eV for the cell shown
1.0
6.1729 0.0000 0.0000
3.0370 7.2109 0.0000
3.0744 -0.9744 9.3862
Na Tl Cd
8 4 2
direct
0.1730 0.2793 0.3734
0.1838 0.7776 0.8606
0.2484 0.7541 0.2520
0.2554 0.2468 0.7475
0.7446 0.7532 0.2525
0.7516 0.2459 0.7480
0.8162 0.2224 0.1394
0.8270 0.7207 0.6266
0.2558 0.4258 0.0564
0.5000 0.0000 0.0000
0.5000 0.5000 0.5000
0.7442 0.5742 0.9436
0.2638 0.9246 0.5453
0.7362 0.0754 0.4547



Na7TlCd3 (PBE, optimized geometry); volume = 341.1 Å³/cell; energy above the most stable polymorph in this dataset = 0.048 eV per atom; total magnetization = 0.000 Bohr magnetons per cell; energy relative to the elements = 10 meV/atom; space-group type = P3m1; total energy = -14.239 eV for the cell shown
1.0
7.0336 0.0000 0.0000
-3.5168 6.0913 0.0000
0.0000 0.0000 7.9626
Na Tl Cd
7 1 3
direct
0.0000 0.0000 0.0000
0.1689 0.3379 0.6177
0.1689 0.8311 0.6177
0.5011 0.0023 0.9922
0.5011 0.4989 0.9922
0.6621 0.8311 0.6177
0.9977 0.4989 0.9922
0.6667 0.3333 0.6393
0.3367 0.1684 0.3104
0.8316 0.1684 0.3104
0.8316 0.6633 0.3104



Na3Tl5Cd2 (PBE, optimized geometry); volume = 631.9 Å³/cell; total magnetization = 0.000 Bohr magnetons per cell; energy relative to the elements = 10 meV/atom; space-group type = Ibam; total energy = -35.045 eV for the cell shown
1.0
-4.6215 6.4792 5.2760
4.6215 -6.4792 5.2760
4.6215 6.4792 -5.2760
Na Tl Cd
6 10 4
direct
0.1374 0.7132 0.8506
0.2500 0.2500 0.0000
0.3626 0.2132 0.5758
0.6374 0.7868 0.4242
0.7500 0.7500 0.0000
0.8626 0.2868 0.1494
0.0038 0.2500 0.7538
0.1210 0.3668 0.4878
0.2500 0.7500 0.5000
0.3790 0.8668 0.2458
0.4962 0.2500 0.2462
0.5038 0.7500 0.7538
0.6210 0.1332 0.7542
0.7500 0.2500 0.5000
0.8790 0.6332 0.5122
0.9962 0.7500 0.2462
0.1190 0.0451 0.1640
0.3810 0.5451 0.9261
0.6190 0.4549 0.0739
0.8810 0.9549 0.8360



NaTl3Cd (PBE, optimized geometry); volume = 187.5 Å³/cell; energy above the most stable polymorph in this dataset = 0.247 eV per atom; total magnetization = 0.000 Bohr magnetons per cell; energy relative to the elements = 201 meV/atom; space-group type = Pm-3m; total energy = -8.328 eV for the cell shown
1.0
5.7235 0.0000 0.0000
0.0000 5.7235 0.0000
0.0000 0.0000 5.7235
Na Tl Cd
1 3 1
direct
0.0000 0.0000 0.0000
0.0000 0.5000 0.5000
0.5000 0.0000 0.5000
0.5000 0.5000 0.0000
0.5000 0.5000 0.5000



Na3TlCd3 (PBE, optimized geometry); volume = 573.9 Å³/cell; energy above the most stable polymorph in this dataset = 0.446 eV per atom; total magnetization = 0.000 Bohr magnetons per cell; energy relative to the elements = 361 meV/atom; space-group type = Pm-3n; total energy = -13.083 eV for the cell shown
1.0
8.3100 0.0000 0.0000
0.0000 8.3100 0.0000
0.0000 0.0000 8.3100
Na Tl Cd
6 2 6
direct
0.0000 0.2500 0.5000
0.0000 0.7500 0.5000
0.2500 0.5000 0.0000
0.5000 0.0000 0.2500
0.5000 0.0000 0.7500
0.7500 0.5000 0.0000
0.0000 0.0000 0.0000
0.5000 0.5000 0.5000
0.0000 0.5000 0.2500
0.0000 0.5000 0.7500
0.2500 0.0000 0.5000
0.5000 0.2500 0.0000
0.5000 0.7500 0.0000
0.7500 0.0000 0.5000



Na3Tl5Cd3 (PBE, optimized geometry); volume = 327.9 Å³/cell; energy above the most stable polymorph in this dataset = 0.014 eV per atom; total magnetization = 0.000 Bohr magnetons per cell; energy relative to the elements = 35 meV/atom; space-group type = P-62m; total energy = -18.144 eV for the cell shown
1.0
10.6718 0.0000 0.0000
-5.3359 9.2420 0.0000
0.0000 0.0000 3.3241
Na Tl Cd
3 5 3
direct
0.0000 0.4199 0.0000
0.4199 0.0000 0.0000
0.5801 0.5801 0.0000
0.0000 0.1713 0.5000
0.1713 0.0000 0.5000
0.3333 0.6667 0.5000
0.6667 0.3333 0.5000
0.8287 0.8287 0.5000
0.0000 0.6666 0.5000
0.3334 0.3334 0.5000
0.6666 0.0000 0.5000



Na7TlCd4 (PBE, optimized geometry); volume = 358.7 Å³/cell; energy above the most stable polymorph in this dataset = 0.046 eV per atom; total magnetization = 0.000 Bohr magnetons per cell; energy relative to the elements = -14 meV/atom; space-group type = C2/m; total energy = -15.433 eV for the cell shown
1.0
7.3886 -2.9388 0.0000
7.3886 2.9388 0.0000
-4.5857 0.0000 8.2588
Na Tl Cd
7 1 4
direct
0.0000 0.0000 0.0000
0.2524 0.2524 0.7230
0.3140 0.3140 0.1322
0.4204 0.4204 0.5826
0.5796 0.5796 0.4174
0.6860 0.6860 0.8678
0.7476 0.7476 0.2770
0.5000 0.5000 0.0000
0.0307 0.0307 0.6793
0.1786 0.1786 0.3502
0.8214 0.8214 0.6498
0.9693 0.9693 0.3207



Na3Tl3Cd2 (PBE, optimized geometry); volume = 460.1 Å³/cell; energy above the most stable polymorph in this dataset = 0.020 eV per atom; total magnetization = 0.000 Bohr magnetons per cell; energy relative to the elements = -75 meV/atom; space-group type = Cmcm; total energy = -26.969 eV for the cell shown
1.0
2.5487 -5.6889 0.0000
2.5487 5.6889 0.0000
0.0000 0.0000 15.8671
Na Tl Cd
6 6 4
direct
0.0701 0.9299 0.6026
0.0701 0.9299 0.8974
0.2950 0.7050 0.7500
0.7050 0.2950 0.2500
0.9299 0.0701 0.1026
0.9299 0.0701 0.3974
0.3857 0.6143 0.5555
0.3857 0.6143 0.9445
0.4258 0.5742 0.2500
0.5742 0.4258 0.7500
0.6143 0.3857 0.0555
0.6143 0.3857 0.4445
0.2327 0.7673 0.1135
0.2327 0.7673 0.3865
0.7673 0.2327 0.6135
0.7673 0.2327 0.8865



Question: Among the records above, which one has the highest volume?
Answer: Na3Tl5Cd2



Repeat the eighth record exactly.
NaTl3Cd (PBE, optimized geometry); volume = 187.5 Å³/cell; energy above the most stable polymorph in this dataset = 0.247 eV per atom; total magnetization = 0.000 Bohr magnetons per cell; energy relative to the elements = 201 meV/atom; space-group type = Pm-3m; total energy = -8.328 eV for the cell shown
1.0
5.7235 0.0000 0.0000
0.0000 5.7235 0.0000
0.0000 0.0000 5.7235
Na Tl Cd
1 3 1
direct
0.0000 0.0000 0.0000
0.0000 0.5000 0.5000
0.5000 0.0000 0.5000
0.5000 0.5000 0.0000
0.5000 0.5000 0.5000